1.
# PBE LaY3Co, relaxed
# - Electronic total energy: -6.324 eV per atom
# - Energy relative to the lowest polymorph listed for this composition: 63.1 meV/atom
# - E_form: -0.039 eV per atom
# - Theoretical density: 5.043 g cm⁻³
data_LaY3Co
_chemical_formula_sum 'La1 Y3 Co1'
_symmetry_space_group_name_H-M 'P m -3 m'
_symmetry_Int_Tables_number 221
_symmetry_space_group_name_Hall '-P 4 2 3'
_cell_length_a 5.348
_cell_length_b 5.348
_cell_length_c 5.348
_cell_angle_alpha 90.00
_cell_angle_beta 90.00
_cell_angle_gamma 90.00
loop_
_atom_site_label
_atom_site_type_symbol
_atom_site_fract_x
_atom_site_fract_y
_atom_site_fract_z
La1 La 0.000 0.000 0.000
Y1 Y 0.000 0.500 0.500
Co1 Co 0.500 0.500 0.500

=====

2.
# PBE LaYCo, relaxed
# - Electronic total energy: -6.284 eV per atom
# - Energy relative to the lowest polymorph listed for this composition: 19.0 meV/atom
# - E_form: -0.118 eV per atom
# - Theoretical density: 6.054 g cm⁻³
data_LaYCo
_chemical_formula_sum 'La4 Y4 Co4'
_symmetry_space_group_name_H-M 'C 1 m 1'
_symmetry_Int_Tables_number 8
_symmetry_space_group_name_Hall 'C -2y'
_cell_length_a 12.582
_cell_length_b 3.733
_cell_length_c 8.406
_cell_angle_alpha 90.00
_cell_angle_beta 127.17
_cell_angle_gamma 90.00
loop_
_atom_site_label
_atom_site_type_symbol
_atom_site_fract_x
_atom_site_fract_y
_atom_site_fract_z
La1 La 0.000 0.000 0.000
La2 La 0.105 0.500 0.699
Y1 Y 0.246 0.000 0.518
Y2 Y 0.349 0.500 0.230
Co1 Co 0.041 0.500 0.314
Co2 Co 0.311 0.000 0.920

=====

3.
# PBE LaYCo2, relaxed
# - Electronic total energy: -6.428 eV per atom
# - Energy relative to the lowest polymorph listed for this composition: 94.7 meV/atom
# - E_form: -0.027 eV per atom
# - Theoretical density: 7.088 g cm⁻³
data_LaYCo2
_chemical_formula_sum 'La1 Y1 Co2'
_symmetry_space_group_name_H-M 'P 4/m m m'
_symmetry_Int_Tables_number 123
_symmetry_space_group_name_Hall '-P 4 2'
_cell_length_a 4.863
_cell_length_b 4.863
_cell_length_c 3.424
_cell_angle_alpha 90.00
_cell_angle_beta 90.00
_cell_angle_gamma 90.00
loop_
_atom_site_label
_atom_site_type_symbol
_atom_site_fract_x
_atom_site_fract_y
_atom_site_fract_z
La1 La 0.000 0.000 0.000
Y1 Y 0.500 0.500 0.000
Co1 Co 0.000 0.500 0.500